Record 1
Crystalline Pr4Sm3Ho8 at its relaxed geometry. Source: the Alexandria database, functional PBE.

Values from the calculation:
Magnetic moment   0.00 Bohr magnetons per cell
Crystal system   trigonal
Energy relative to the lowest polymorph listed for this composition   0.000 eV per atom
Formation energy from the elements   11.74 kJ per mole of atoms

Cell: 7.003 7.003 12.564 Å, 73.82 73.82 60.00°
Sites, in units of the cell vectors:
Pr 0.000 0.000 0.000
Pr 0.336 0.336 0.991
Pr 0.500 0.500 0.500
Pr 0.664 0.664 0.009
Sm 0.500 0.000 0.500
Sm 0.000 0.000 0.500
Sm 0.000 0.500 0.500
Ho 0.245 0.245 0.264
Ho 0.248 0.750 0.252
Ho 0.750 0.750 0.252
Ho 0.750 0.248 0.252
Ho 0.755 0.755 0.736
Ho 0.752 0.250 0.748
Ho 0.250 0.250 0.748
Ho 0.250 0.752 0.748

Record 2
Crystalline BaAc2SmHg4 at its relaxed geometry. Source: the Alexandria database, functional PBE.

Values from the calculation:
Magnetic moment   0.23 Bohr magnetons per cell
Crystal system   trigonal
Formation energy from the elements   -44.26 kJ per mole of atoms

Cell: 5.670 5.670 9.897 Å, 73.35 73.35 60.00°
Sites, in units of the cell vectors:
Ba 0.000 0.000 0.000
Ac 0.751 0.751 0.746
Ac 0.249 0.249 0.254
Sm 0.500 0.500 0.500
Hg 0.382 0.382 0.853
Hg 0.871 0.871 0.388
Hg 0.129 0.129 0.612
Hg 0.618 0.618 0.147

Record 3
Crystalline Na2LaInSn2 at its relaxed geometry. Source: the Alexandria database, functional PBE.

Values from the calculation:
Magnetic moment   0.00 Bohr magnetons per cell
Crystal system   orthorhombic
Formation energy from the elements   -39.94 kJ per mole of atoms

Cell: 4.730 8.009 9.474 Å, 90.00 90.00 90.00°
Sites, in units of the cell vectors:
Na 0.500 0.039 0.078
Na 0.000 0.353 0.165
Na 0.500 0.539 0.922
Na 0.000 0.853 0.835
La 0.000 0.984 0.443
La 0.000 0.484 0.557
In 0.500 0.149 0.681
In 0.500 0.649 0.319
Sn 0.000 0.252 0.842
Sn 0.500 0.269 0.377
Sn 0.000 0.752 0.158
Sn 0.500 0.769 0.623

Record 4
Crystalline LuNbMo at its relaxed geometry. Source: the Alexandria database, functional PBE.

Values from the calculation:
Magnetic moment   0.00 Bohr magnetons per cell
Crystal system   tetragonal
Formation energy from the elements   8.28 kJ per mole of atoms

Cell: 3.376 3.376 5.853 Å, 106.76 106.76 90.00°
Sites, in units of the cell vectors:
Mo 0.688 0.688 0.377
Lu 0.006 0.006 0.011
Nb 0.306 0.306 0.612

Record 5
Crystalline BiAsIr at its relaxed geometry. Source: the Alexandria database, functional PBE.

Values from the calculation:
Magnetic moment   0.00 Bohr magnetons per cell
Crystal system   monoclinic
Energy relative to the lowest polymorph listed for this composition   0.000 eV per atom
Formation energy from the elements   -26.75 kJ per mole of atoms

Cell: 6.520 6.635 6.601 Å, 113.99 90.00 90.00°
Sites, in units of the cell vectors:
Bi 0.630 0.366 0.153
Bi 0.370 0.634 0.847
Bi 0.870 0.866 0.153
Bi 0.130 0.134 0.847
As 0.640 0.828 0.648
As 0.360 0.172 0.352
As 0.140 0.672 0.352
As 0.860 0.328 0.648
Ir 0.016 0.299 0.296
Ir 0.484 0.799 0.296
Ir 0.984 0.701 0.704
Ir 0.516 0.201 0.704

Record 6
Crystalline MgAgH2I at its relaxed geometry. Source: the Alexandria database, functional PBE.

Values from the calculation:
Magnetic moment   0.00 Bohr magnetons per cell
Crystal system   tetragonal
E   -2.037 eV per atom

Cell: 3.975 7.336 3.975 Å, 90.00 90.00 90.00°
Sites, in units of the cell vectors:
I 0.000 0.000 0.000
H 0.000 0.000 0.500
H 0.500 0.000 0.000
Mg 0.500 0.500 0.500
Ag 0.000 0.500 0.000

Record 7
Crystalline LiCeRuPb at its relaxed geometry. Source: the Alexandria database, functional PBE.

Values from the calculation:
Magnetic moment   0.00 Bohr magnetons per cell
Crystal system   cubic
Formation energy from the elements   -20.45 kJ per mole of atoms

Cell: 4.830 4.830 4.830 Å, 60.00 60.00 60.00°
Sites, in units of the cell vectors:
Pb 0.750 0.750 0.750
Ru 0.500 0.500 0.500
Ce 0.250 0.250 0.250
Li 0.000 0.000 0.000

Record 8
Crystalline Ba6Na2TlPd at its relaxed geometry. Source: the Alexandria database, functional PBE.

Values from the calculation:
Magnetic moment   0.00 Bohr magnetons per cell
Crystal system   monoclinic
Formation energy from the elements   -13.81 kJ per mole of atoms

Cell: 9.300 9.300 9.318 Å, 120.03 120.03 90.01°
Sites, in units of the cell vectors:
Ba 0.758 0.759 0.998
Ba 0.759 0.759 0.517
Ba 0.242 0.242 0.001
Ba 0.759 0.242 0.000
Ba 0.241 0.241 0.482
Ba 0.241 0.759 0.000
Na 0.750 0.251 0.501
Na 0.251 0.751 0.501
Tl 0.499 0.500 0.999
Pd 0.000 0.000 0.999

Record 9
Crystalline Ce2Si4GeIr3 at its relaxed geometry. Source: the Alexandria database, functional PBE.

Values from the calculation:
Energy relative to the elements, uncorrected   -0.859 eV per atom
Magnetic moment   0.00 Bohr magnetons per cell
Crystal system   tetragonal

Cell: 4.252 4.252 9.723 Å, 90.00 90.00 90.00°
Sites, in units of the cell vectors:
Ce 0.500 0.000 0.248
Ce 0.000 0.500 0.752
Si 0.500 0.500 0.000
Si 0.000 0.000 0.000
Si 0.500 0.000 0.636
Si 0.000 0.500 0.364
Ge 0.500 0.500 0.500
Ir 0.000 0.000 0.500
Ir 0.500 0.000 0.878
Ir 0.000 0.500 0.122

Record 10
Crystalline Pm8Pd2Pb at its relaxed geometry. Source: the Alexandria database, functional PBE.

Values from the calculation:
Magnetic moment   0.00 Bohr magnetons per cell
Crystal system   monoclinic
Formation energy from the elements   -36.94 kJ per mole of atoms

Cell: 5.067 8.089 9.159 Å, 114.54 106.06 90.00°
Sites, in units of the cell vectors:
Pm 0.405 0.532 0.809
Pm 0.684 0.977 0.369
Pm 0.817 0.716 0.634
Pm 0.950 0.243 0.899
Pm 0.183 0.284 0.366
Pm 0.316 0.023 0.631
Pm 0.595 0.468 0.191
Pm 0.050 0.757 0.101
Pd 0.808 0.352 0.617
Pd 0.192 0.648 0.383
Pb 0.500 0.000 0.000

Record 11
Crystalline Sc7Bi2Pb2 at its relaxed geometry. Source: the Alexandria database, functional PBE.

Values from the calculation:
Magnetic moment   3.59 Bohr magnetons per cell
Crystal system   orthorhombic
Formation energy from the elements   -12.66 kJ per mole of atoms

Cell: 6.794 6.820 6.794 Å, 90.00 100.39 90.00°
Sites, in units of the cell vectors:
Sc 0.000 0.281 0.500
Sc 0.500 0.719 0.000
Sc 0.000 0.719 0.500
Sc 0.500 0.281 0.000
Sc 0.000 0.000 0.000
Sc 0.500 0.725 0.500
Sc 0.500 0.275 0.500
Bi 0.720 0.000 0.280
Bi 0.280 0.000 0.720
Pb 0.813 0.500 0.813
Pb 0.187 0.500 0.187

Record 12
Crystalline LiHfTlI6 at its relaxed geometry. Source: the Alexandria database, functional PBE.

Values from the calculation:
Energy relative to the elements, uncorrected   -0.903 eV per atom
Magnetic moment   0.00 Bohr magnetons per cell
Crystal system   trigonal

Cell: 7.622 7.622 15.087 Å, 90.00 90.00 120.00°
Sites, in units of the cell vectors:
Li 0.333 0.667 0.250
Li 0.667 0.333 0.750
Hf 0.667 0.333 0.250
Hf 0.333 0.667 0.750
Tl 0.000 0.000 0.000
Tl 0.000 0.000 0.500
I 0.638 0.624 0.140
I 0.986 0.362 0.140
I 0.362 0.986 0.640
I 0.014 0.638 0.860
I 0.376 0.362 0.360
I 0.986 0.624 0.360
I 0.624 0.986 0.860
I 0.638 0.014 0.360
I 0.014 0.376 0.640
I 0.376 0.014 0.140
I 0.624 0.638 0.640
I 0.362 0.376 0.860